No. 1
# K3ScGe

A relaxed structure of K3ScGe (PBE, Alexandria via LeMat-Bulk).

## Properties
total magnetization = 3.419 μB/f.u.
D(E_F) = 13.737 states/eV/f.u.
ΔE_f = 1.189 eV/atom
V = 61.42 Å³ per atom

POSCAR file:
```
K3ScGe
1.0
-5.5454 -0.4392 3.8173
3.1455 -4.3682 4.0671
2.2068 5.1227 3.7952
K Sc Ge
3 1 1
direct
0.0000 0.0000 0.5000 K
0.5000 0.0000 0.0000 K
0.0000 0.5000 0.0000 K
0.0000 0.0000 0.0000 Sc
0.5000 0.5000 0.5000 Ge
```

***

No. 2
# KScGe

A relaxed structure of KScGe (PBE, Alexandria via LeMat-Bulk).

## Properties
total magnetization = 0.006 μB/f.u.
D(E_F) = 4.890 states/eV/f.u.
ΔE_f = -0.244 eV/atom
V = 30.55 Å³ per atom
E above lowest polymorph = 0.143 eV/atom

POSCAR file:
```
KScGe
1.0
4.8739 0.0001 0.0013
-0.0003 4.8739 0.0029
2.4269 2.4242 7.7177
K Sc Ge
2 2 2
direct
0.8763 0.9859 0.2419 K
0.5073 0.6174 0.9813 K
0.1918 0.8016 0.6117 Sc
0.6918 0.3016 0.6117 Sc
0.1029 0.2126 0.7902 Ge
0.2807 0.3905 0.4333 Ge
```

***

No. 3
# KScGe

A relaxed structure of KScGe (PBE, Alexandria via LeMat-Bulk).

## Properties
total magnetization = 0.384 μB/f.u.
D(E_F) = 1.758 states/eV/f.u.
ΔE_f = -0.198 eV/atom
V = 30.23 Å³ per atom
E above lowest polymorph = 0.190 eV/atom

POSCAR file:
```
KScGe
1.0
-14.3490 -8.6032 -9.6768
-2.8459 -5.8637 -2.9200
4.5709 0.0995 5.4869
K Ge Sc
2 2 2
direct
0.4023 0.3950 0.6050 K
0.5977 0.6050 0.3950 K
0.5000 0.2881 0.2881 Ge
0.5000 0.7119 0.7119 Ge
0.9509 0.3508 0.6492 Sc
0.0491 0.6492 0.3508 Sc
```

***

No. 4
# KScGe

A relaxed structure of KScGe (PBE, Alexandria via LeMat-Bulk).

## Properties
total magnetization = 0.000 μB/f.u.
D(E_F) = 1.763 states/eV/f.u.
ΔE_f = -0.198 eV/atom
V = 31.07 Å³ per atom
E above lowest polymorph = 0.190 eV/atom

POSCAR file:
```
KScGe
1.0
0.0215 1.2982 6.7245
-1.5509 2.2108 -6.2937
-6.7015 -2.9946 0.5995
Ge K Sc
2 2 2
direct
0.4499 0.5501 0.7500 Ge
0.5501 0.4499 0.2500 Ge
0.7264 0.2736 0.7500 K
0.2736 0.7264 0.2500 K
0.0000 0.0000 0.0000 Sc
0.0000 0.0000 0.5000 Sc
```

***

No. 5
# KScGe

A relaxed structure of KScGe (PBE, Alexandria via LeMat-Bulk).

## Properties
total magnetization = 0.000 μB/f.u.
D(E_F) = 2.432 states/eV/f.u.
ΔE_f = -0.296 eV/atom
V = 33.17 Å³ per atom
E above lowest polymorph = 0.092 eV/atom

POSCAR file:
```
KScGe
1.0
13.0605 0.0000 0.0973
0.0000 3.8275 0.0000
0.5646 0.0000 3.9851
Sc K Ge
2 2 2
direct
0.9022 0.2500 0.0465 Sc
0.0978 0.7500 0.9535 Sc
0.6551 0.7500 0.6638 K
0.3449 0.2500 0.3362 K
0.0814 0.2500 0.4613 Ge
0.9186 0.7500 0.5387 Ge
```

***

No. 6
# KScGe

A relaxed structure of KScGe (PBE, Alexandria via LeMat-Bulk).

## Properties
total magnetization = 0.000 μB/f.u.
D(E_F) = 0.000 states/eV/f.u.
ΔE_f = 0.172 eV/atom
V = 30.12 Å³ per atom
E above lowest polymorph = 0.559 eV/atom

POSCAR file:
```
KScGe
1.0
0.2391 -4.7875 1.5470
0.5684 -1.0393 4.8956
-3.8169 -1.9968 2.6103
Ge Sc K
1 1 1
direct
0.5000 0.5000 0.5000 Ge
0.7500 0.7500 0.7500 Sc
0.2500 0.2500 0.2500 K
```

***

No. 7
# KScGe

A relaxed structure of KScGe (PBE, Alexandria via LeMat-Bulk).

## Properties
total magnetization = 0.000 μB/f.u.
D(E_F) = 0.226 states/eV/f.u.
ΔE_f = -0.061 eV/atom
V = 24.05 Å³ per atom
E above lowest polymorph = 0.326 eV/atom

POSCAR file:
```
KScGe
1.0
4.5489 -2.6263 0.0000
0.0000 5.2527 0.0000
0.0000 0.0000 6.0384
Sc K Ge
2 2 2
direct
0.3333 0.6667 0.7500 Sc
0.6667 0.3333 0.2500 Sc
0.0000 0.0000 0.5000 K
0.0000 0.0000 0.0000 K
0.6667 0.3333 0.7500 Ge
0.3333 0.6667 0.2500 Ge
```

***

No. 8
# KScGe

A relaxed structure of KScGe (PBE, Alexandria via LeMat-Bulk).

## Properties
total magnetization = 0.000 μB/f.u.
D(E_F) = 2.179 states/eV/f.u.
ΔE_f = 0.000 eV/atom
V = 26.73 Å³ per atom
E above lowest polymorph = 0.387 eV/atom

POSCAR file:
```
KScGe
1.0
-0.2847 6.0423 -1.0295
-0.9474 -1.1307 -6.3739
-4.5645 2.3722 -3.1000
K Ge Sc
2 2 2
direct
0.9989 0.4989 0.0023 K
0.7175 0.7175 0.5650 K
0.3492 0.5718 0.3016 Ge
0.3492 0.1266 0.3016 Ge
0.3493 0.0986 0.8028 Sc
0.8479 0.0986 0.8028 Sc
```

***

No. 9
# KScGe

A relaxed structure of KScGe (PBE, Alexandria via LeMat-Bulk).

## Properties
total magnetization = 0.000 μB/f.u.
D(E_F) = 0.000 states/eV/f.u.
ΔE_f = -0.388 eV/atom
V = 30.62 Å³ per atom
E above lowest polymorph = 0.000 eV/atom

POSCAR file:
```
KScGe
1.0
-3.9622 -2.1312 1.9826
2.5435 -0.9067 4.1085
-2.1880 6.7044 2.8341
Ge Sc K
2 2 2
direct
0.0000 0.5000 0.1646 Ge
0.5000 0.0000 0.8354 Ge
0.5000 0.5000 0.0000 Sc
0.0000 0.0000 0.0000 Sc
0.5000 0.0000 0.3720 K
0.0000 0.5000 0.6280 K
```

***

No. 10
# KScGe

A relaxed structure of KScGe (PBE, Alexandria via LeMat-Bulk).

## Properties
total magnetization = 0.000 μB/f.u.
D(E_F) = 0.000 states/eV/f.u.
ΔE_f = -0.244 eV/atom
V = 27.12 Å³ per atom
E above lowest polymorph = 0.144 eV/atom

POSCAR file:
```
KScGe
1.0
-4.2460 -0.1925 -7.4852
4.2054 -0.4511 -2.3739
-0.5452 -7.7601 0.5089
Ge Sc K
4 4 4
direct
0.6787 0.2500 0.1150 Ge
0.8213 0.7500 0.6150 Ge
0.3213 0.7500 0.8850 Ge
0.1787 0.2500 0.3850 Ge
0.6384 0.7500 0.9245 Sc
0.3616 0.2500 0.0755 Sc
0.1384 0.7500 0.5755 Sc
0.8616 0.2500 0.4245 Sc
0.4970 0.2500 0.6452 K
0.0030 0.7500 0.1452 K
0.9970 0.2500 0.8548 K
0.5030 0.7500 0.3548 K
```

***

No. 11
# KScGe

A relaxed structure of KScGe (PBE, Alexandria via LeMat-Bulk).

## Properties
total magnetization = 0.000 μB/f.u.
D(E_F) = 1.086 states/eV/f.u.
ΔE_f = 0.017 eV/atom
V = 34.48 Å³ per atom
E above lowest polymorph = 0.405 eV/atom

POSCAR file:
```
KScGe
1.0
-3.8148 -2.5254 0.7133
3.0205 0.6559 3.4476
-2.7531 4.5931 1.5382
Ge Sc K
1 1 1
direct
0.3333 0.6667 0.0000 Ge
0.0000 0.0000 0.0000 Sc
0.6667 0.3333 0.5000 K
```

***

No. 12
# KScGe

A relaxed structure of KScGe (PBE, Alexandria via LeMat-Bulk).

## Properties
total magnetization = 0.000 μB/f.u.
D(E_F) = 2.038 states/eV/f.u.
ΔE_f = -0.338 eV/atom
V = 30.98 Å³ per atom
E above lowest polymorph = 0.049 eV/atom

POSCAR file:
```
KScGe
1.0
-3.5958 1.6736 -1.1413
0.4573 -1.2137 -3.2210
-6.1542 -10.9467 3.2517
Ge Sc K
2 2 2
direct
0.5670 0.2897 0.9436 Ge
0.0653 0.7897 0.2246 Ge
0.0667 0.7897 0.0047 Sc
0.5657 0.2897 0.1635 Sc
0.5628 0.2926 0.4253 K
0.0658 0.7922 0.7429 K
```

***

Question: What is the formula in the seventh record?
Answer: KScGe

***

Repeat the second record exactly.
# KScGe

A relaxed structure of KScGe (PBE, Alexandria via LeMat-Bulk).

## Properties
total magnetization = 0.006 μB/f.u.
D(E_F) = 4.890 states/eV/f.u.
ΔE_f = -0.244 eV/atom
V = 30.55 Å³ per atom
E above lowest polymorph = 0.143 eV/atom

POSCAR file:
```
KScGe
1.0
4.8739 0.0001 0.0013
-0.0003 4.8739 0.0029
2.4269 2.4242 7.7177
K Sc Ge
2 2 2
direct
0.8763 0.9859 0.2419 K
0.5073 0.6174 0.9813 K
0.1918 0.8016 0.6117 Sc
0.6918 0.3016 0.6117 Sc
0.1029 0.2126 0.7902 Ge
0.2807 0.3905 0.4333 Ge
```

***

Question: Look up the D(E_F) of the eleventh one.
Answer: 1.086 states/eV/f.u.